Compound: NaPb2BrCl4
Source: Alexandria via LeMat-Bulk
Functional: PBE
Structure: optimized geometry

Output
uncorrected energy: -3.482 eV/atom
ΔE_f (raw): -1.257 eV/atom
calculated density: 4.751 g/cm³
spin magnetization: 0.0 μB per cell

Cell lengths 7.014, 7.014, 9.332 Å; angles 115.10, 115.10, 34.05 degrees
Element x y z (fractional)
Na1 0.000 0.000 0.000
Pb1 0.184 0.184 0.733
Pb2 0.816 0.816 0.267
Br1 0.500 0.500 0.500
Cl1 0.181 0.181 0.302
Cl2 0.374 0.374 0.060
Cl3 0.626 0.626 0.940
Cl4 0.819 0.819 0.698